(1)
This record from Alexandria describes a geometry-optimized CrMoP structure. The functional is PBE.

```
CrMoP
1.0
-3.512 -3.377 0.074
0.212 -0.344 -5.639
3.879 -4.026 0.391
P Cr Mo
4 4 4
direct
0.000 0.500 0.403
0.000 0.000 0.903
0.500 0.500 0.403
0.500 0.000 0.903
0.250 0.666 0.078
0.250 0.834 0.578
0.750 0.166 0.578
0.750 0.334 0.078
0.750 0.652 0.758
0.250 0.348 0.758
0.750 0.848 0.258
0.250 0.152 0.258
```

=====

(2)
This record from Alexandria describes a geometry-optimized CrMoP structure. The functional is PBE.

```
CrMoP
1.0
5.903 0.000 -0.001
0.000 3.127 0.000
-1.789 0.000 8.714
Cr Mo P
4 4 4
direct
0.814 0.500 0.478
0.203 0.000 0.607
0.814 0.000 0.978
0.203 0.500 0.107
0.548 0.000 0.235
0.093 0.500 0.825
0.548 0.500 0.735
0.093 0.000 0.325
0.411 0.500 0.441
0.411 0.000 0.941
0.821 0.000 0.668
0.821 0.500 0.168
```

=====

(3)
This record from Alexandria describes a geometry-optimized CrMo2P structure. The functional is PBE.

```
CrMo2P
1.0
-3.910 2.770 -1.101
-4.079 -0.780 2.631
4.763 0.770 0.948
Mo P Cr
2 1 1
direct
0.500 0.500 0.000
0.000 0.000 0.000
0.250 0.750 0.500
0.750 0.250 0.500
```

=====

(4)
This record from Alexandria describes a geometry-optimized CrMoP structure. The functional is PBE.

```
CrMoP
1.0
4.854 0.000 0.011
0.000 3.626 0.000
-0.194 0.000 9.182
Cr P Mo
4 4 4
direct
0.164 0.500 0.928
0.164 0.000 0.428
0.924 0.000 0.134
0.924 0.500 0.634
0.396 0.000 0.039
0.932 0.500 0.304
0.396 0.500 0.539
0.932 0.000 0.804
0.419 0.500 0.219
0.674 0.000 0.430
0.419 0.000 0.719
0.674 0.500 0.930
```

=====

(5)
This record from Alexandria describes a geometry-optimized CrMo2P structure. The functional is PBE.

```
CrMo2P
1.0
-1.004 2.603 7.620
-3.668 2.959 6.605
-2.838 0.392 7.592
Mo Cr P
2 1 1
direct
0.005 0.005 0.005
0.243 0.243 0.243
0.757 0.757 0.757
0.495 0.495 0.495
```

=====

(6)
This record from Alexandria describes a geometry-optimized CrMoP structure. The functional is PBE.

```
CrMoP
1.0
3.110 0.000 0.000
0.000 3.976 0.000
0.000 0.000 12.715
Cr P Mo
4 4 4
direct
0.000 0.500 0.396
0.500 0.500 0.074
0.000 0.000 0.574
0.500 0.000 0.896
0.000 0.500 0.217
0.500 0.000 0.717
0.500 0.000 0.435
0.000 0.500 0.935
0.000 0.500 0.753
0.000 0.000 0.070
0.500 0.000 0.253
0.500 0.500 0.570
```

=====

(7)
This record from Alexandria describes a geometry-optimized CrMo2P structure. The functional is PBE.

```
CrMo2P
1.0
5.056 -0.009 0.000
2.589 4.343 0.000
-3.823 -2.167 2.501
Mo P Cr
2 1 1
direct
0.250 0.750 0.500
0.000 0.000 0.000
0.500 0.500 0.000
0.750 0.250 0.500
```

=====

(8)
This record from Alexandria describes a geometry-optimized CrMoP structure. The functional is PBE.

```
CrMoP
1.0
4.010 0.000 0.000
-2.005 3.473 0.000
0.000 0.000 2.834
Cr Mo P
1 1 1
direct
0.000 0.000 0.869
0.667 0.333 0.291
0.333 0.667 0.840
```

=====

(9)
This record from Alexandria describes a geometry-optimized Cr4MoP structure. The functional is PBE.

```
Cr4MoP
1.0
4.052 -1.786 1.669
0.203 -1.678 4.420
0.403 -4.655 0.748
Cr P Mo
4 1 1
direct
0.879 0.374 0.374
0.374 0.374 0.374
0.374 0.374 0.879
0.374 0.879 0.374
0.000 0.000 0.000
0.750 0.750 0.750
```

=====

(10)
This record from Alexandria describes a geometry-optimized CrMoP4 structure. The functional is PBE.

```
CrMoP4
1.0
-0.419 -4.354 -2.253
-3.075 -3.405 1.779
-4.118 -1.116 -2.450
P Cr Mo
4 1 1
direct
0.375 0.875 0.375
0.375 0.375 0.875
0.375 0.375 0.375
0.875 0.375 0.375
0.750 0.750 0.750
0.000 0.000 0.000
```

=====

(11)
This record from Alexandria describes a geometry-optimized CrMo2P structure. The functional is PBE.

```
CrMo2P
1.0
-3.657 0.044 -0.328
0.181 -2.783 -2.388
-2.431 -7.343 5.551
Cr P Mo
2 2 4
direct
0.000 0.000 0.000
0.750 0.250 0.500
0.500 0.500 0.000
0.250 0.750 0.500
0.135 0.625 0.250
0.615 0.125 0.250
0.375 0.385 0.750
0.875 0.865 0.750
```

=====

(12)
This record from Alexandria describes a geometry-optimized CrMoP structure. The functional is PBE.

```
CrMoP
1.0
-3.100 -2.016 1.626
-0.543 -3.908 -0.863
0.675 -2.806 2.826
Cr P Mo
1 1 1
direct
0.500 0.500 0.500
0.000 0.000 0.000
0.750 0.750 0.750
```

=====

| no. | DOS at the Fermi energy (states/eV/atom) | formation enthalpy at 0 K (eV per atom) |
| --- | --- | --- |
| 1 | 0.8943 | -0.2818 |
| 2 | 0.8676 | -0.2937 |
| 3 | 0.6861 | 0.0225 |
| 4 | 0.8726 | -0.2445 |
| 5 | 0.9769 | 0.1544 |
| 6 | 0.5879 | -0.3166 |
| 7 | 0.8082 | -0.0109 |
| 8 | 0.9230 | -0.1605 |
| 9 | 1.0486 | 0.2067 |
| 10 | 0.6248 | 0.6974 |
| 11 | 0.8665 | 0.4027 |
| 12 | 0.9010 | 0.2537 |